Entry 1:
Below is a relaxed structure of Ba2SnAu, with properties calculated at the PBE level.

Summary:
The calculation puts the total moment at 0.00 Bohr magnetons per cell. The total energy comes out at -3.13 eV/atom. The volume comes out at 158.9 Å³/f.u.

Cell and atoms, written as CIF:
```
data_Ba2SnAu
_chemical_formula_sum 'Ba4 Sn2 Au2'
_space_group_name_H-M_alt 'P 1'
_space_group_IT_number 1
_cell_length_a 7.4985
_cell_length_b 7.4985
_cell_length_c 7.4985
_cell_angle_alpha 104.97
_cell_angle_beta 104.97
_cell_angle_gamma 118.90
loop_
_space_group_symop_operation_xyz
'x,y,z'
loop_
_atom_site_label
_atom_site_fract_x
_atom_site_fract_y
_atom_site_fract_z
Ba1 0.0962 0.6250 0.9712
Ba2 0.3750 0.3462 0.4712
Ba3 0.6538 0.1250 0.0288
Ba4 0.8750 0.9038 0.5288
Sn1 0.2500 0.7500 0.5000
Sn2 0.5000 0.5000 0.0000
Au1 0.0000 0.0000 0.0000
Au2 0.7500 0.2500 0.5000
```


Entry 2:
Below is a relaxed structure of Rb3BOs, with properties calculated at the PBE level.

Summary:
The calculation puts the total moment at 0.00 Bohr magnetons per cell. The total energy comes out at -1.97 eV/atom. The volume comes out at 238.9 Å³/f.u.

Cell and atoms, written as CIF:
```
data_Rb3BOs
_chemical_formula_sum 'Rb3 B1 Os1'
_space_group_name_H-M_alt 'P 1'
_space_group_IT_number 1
_cell_length_a 6.2047
_cell_length_b 6.2047
_cell_length_c 6.2047
_cell_angle_alpha 90.00
_cell_angle_beta 90.00
_cell_angle_gamma 90.00
loop_
_space_group_symop_operation_xyz
'x,y,z'
loop_
_atom_site_label
_atom_site_fract_x
_atom_site_fract_y
_atom_site_fract_z
Rb1 0.0000 0.0000 0.5000
Rb2 0.0000 0.5000 0.0000
Rb3 0.5000 0.0000 0.0000
B1 0.5000 0.5000 0.5000
Os1 0.0000 0.0000 0.0000
```